# Ba2CeSmO6 PBE-GGA relaxed
# energy	-7.335	eV/atom
# spin magnetization	1.07	μB/f.u.
# formation energy from raw total energies	-2.910	eV/atom
data_Ba2CeSmO6
_chemical_formula_sum 'Ba4 Ce2 Sm2 O12'
_cell_length_a 6.3004
_cell_length_b 6.3209
_cell_length_c 10.9039
_cell_angle_alpha 90.00
_cell_angle_beta 125.21
_cell_angle_gamma 90.00
_symmetry_space_group_name_H-M 'P 1 21/c 1'
_symmetry_Int_Tables_number 14
loop_
_symmetry_equiv_pos_as_xyz
'x,y,z'
'-x,-y,-z'
'-x,y+1/2,-z+1/2'
'x,-y+1/2,z+1/2'
loop_
_atom_site_label
_atom_site_type_symbol
_atom_site_fract_x
_atom_site_fract_y
_atom_site_fract_z
Ba1 Ba 0.2409 0.0275 0.2501
Ce1 Ce 0.0000 0.0000 0.5000
Sm1 Sm 0.5000 0.0000 0.0000
O1 O 0.1708 0.2249 0.9556
O2 O 0.2316 0.7152 0.9569
O3 O 0.3245 0.0212 0.7451

# Ba2CeSmO5 PBE-GGA relaxed
# energy	-7.296	eV/atom
# spin magnetization	0.93	μB/f.u.
# formation energy from raw total energies	-2.930	eV/atom
data_Ba2CeSmO5
_chemical_formula_sum 'Ba8 Ce4 Sm4 O20'
_cell_length_a 3.7457
_cell_length_b 15.1427
_cell_length_c 11.9053
_cell_angle_alpha 90.00
_cell_angle_beta 90.00
_cell_angle_gamma 90.00
_symmetry_space_group_name_H-M 'C m c 21'
_symmetry_Int_Tables_number 36
loop_
_symmetry_equiv_pos_as_xyz
'x,y,z'
'-x,-y,z+1/2'
'-x,y,z'
'x,-y,z+1/2'
'x+1/2,y+1/2,z'
'-x+1/2,-y+1/2,z+1/2'
'-x+1/2,y+1/2,z'
'x+1/2,-y+1/2,z+1/2'
loop_
_atom_site_label
_atom_site_type_symbol
_atom_site_fract_x
_atom_site_fract_y
_atom_site_fract_z
Ba1 Ba 0.0000 0.1099 0.0000
Ba2 Ba 0.0000 0.1383 0.5763
Ce1 Ce 0.0000 0.4757 0.7672
Sm1 Sm 0.0000 0.2263 0.3097
O1 O 0.0000 0.0701 0.3546
O2 O 0.0000 0.2756 0.9419
O3 O 0.0000 0.3107 0.6917
O4 O 0.0000 0.3780 0.3152
O5 O 0.0000 0.4943 0.0865

# Ba2CeSnO6 PBE-GGA relaxed
# energy	-7.050	eV/atom
# spin magnetization	0.00	μB/f.u.
# formation energy from raw total energies	-2.697	eV/atom
# relative energy among the computed polymorphs	0.0	meV/atom
data_Ba2CeSnO6
_chemical_formula_sum 'Ba8 Ce4 Sn4 O24'
_cell_length_a 8.6584
_cell_length_b 8.6584
_cell_length_c 8.6584
_cell_angle_alpha 90.00
_cell_angle_beta 90.00
_cell_angle_gamma 90.00
_symmetry_space_group_name_H-M 'F m -3 m'
_symmetry_Int_Tables_number 225
_symmetry_space_group_name_Hall '-F 4 2 3'
loop_
_atom_site_label
_atom_site_type_symbol
_atom_site_fract_x
_atom_site_fract_y
_atom_site_fract_z
Ba1 Ba 0.2500 0.2500 0.2500
Ce1 Ce 0.0000 0.0000 0.0000
Sn1 Sn 0.0000 0.0000 0.5000
O1 O 0.0000 0.0000 0.2579